(1)
{"formula": "CsAs2PdBr", "functional": "GGA-PBEsol", "state": "relaxed", "lattice": [[5.652, 0.000, 0.000], [0.000, 5.652, 0.000], [0.000, 0.000, 6.169]], "species": ["Cs", "As", "As", "Pd", "Br"], "frac_coords": [[0.000, 0.000, 0.000], [0.000, 0.500, 0.000], [0.500, 0.000, 0.000], [0.500, 0.500, 0.500], [0.000, 0.000, 0.500]], "space_group": "P4/mmm, No. 123", "e_form_raw_kj_per_mol_atoms": 162.3, "dos_at_fermi_per_ev_fu": 9.39}

(2)
{"formula": "Sc2Si2Ge", "functional": "GGA-PBEsol", "state": "relaxed", "lattice": [[6.694, 0.000, 0.000], [0.000, 6.694, 0.000], [0.000, 0.000, 3.887]], "species": ["Sc", "Sc", "Sc", "Sc", "Si", "Si", "Si", "Si", "Ge", "Ge"], "frac_coords": [[0.177, 0.323, 0.000], [0.323, 0.823, 0.000], [0.677, 0.177, 0.000], [0.823, 0.677, 0.000], [0.123, 0.623, 0.500], [0.377, 0.123, 0.500], [0.623, 0.877, 0.500], [0.877, 0.377, 0.500], [0.000, 0.000, 0.500], [0.500, 0.500, 0.500]], "space_group": "P4/mbm, No. 127", "e_form_raw_kj_per_mol_atoms": -63.8, "dos_at_fermi_per_ev_fu": 1.95}

(3)
{"formula": "CeGe2Pt2", "functional": "GGA-PBEsol", "state": "relaxed", "lattice": [[-2.143, 2.143, 5.020], [2.143, -2.143, 5.020], [2.143, 2.143, -5.020]], "species": ["Ce", "Ge", "Ge", "Pt", "Pt"], "frac_coords": [[0.000, 0.000, 0.000], [0.379, 0.379, 0.000], [0.621, 0.621, 0.000], [0.250, 0.750, 0.500], [0.750, 0.250, 0.500]], "space_group": "I4/mmm, No. 139", "ef_ev_per_atom": -0.80, "dos_at_fermi_per_ev_fu": 6.69}

(4)
{"formula": "LaMn2Pb", "functional": "GGA-PBEsol", "state": "relaxed", "lattice": [[-2.204, 2.204, 4.473], [2.204, -2.204, 4.473], [2.204, 2.204, -4.473]], "species": ["La", "Mn", "Mn", "Pb"], "frac_coords": [[0.000, 0.000, 0.000], [0.500, 0.500, 0.000], [0.750, 0.250, 0.500], [0.250, 0.750, 0.500]], "space_group": "I-4m2, No. 119", "ef_ev_per_atom": 0.43, "dos_at_fermi_per_ev_fu": 3.26}

(5)
{"formula": "ZrCrTe2", "functional": "GGA-PBEsol", "state": "relaxed", "lattice": [[1.918, 1.107, 7.289], [-1.918, 1.107, 7.289], [0.000, -2.214, 7.289]], "species": ["Zr", "Cr", "Te", "Te"], "frac_coords": [[0.000, 0.000, 0.000], [0.500, 0.500, 0.500], [0.245, 0.245, 0.245], [0.755, 0.755, 0.755]], "space_group": "R-3m, No. 166", "e_form_raw_kj_per_mol_atoms": -22.3, "de_polymorph_ev_per_atom": 0.142, "dos_at_fermi_per_ev_fu": 4.25}

(6)
{"formula": "CrPb3N", "functional": "GGA-PBEsol", "state": "relaxed", "lattice": [[4.887, 0.000, 0.000], [0.000, 4.887, 0.000], [0.000, 0.000, 4.887]], "species": ["Cr", "Pb", "Pb", "Pb", "N"], "frac_coords": [[0.000, 0.000, 0.000], [0.000, 0.500, 0.500], [0.500, 0.000, 0.500], [0.500, 0.500, 0.000], [0.500, 0.500, 0.500]], "space_group": "Pm-3m, No. 221", "e_form_raw_kj_per_mol_atoms": 86.2, "de_polymorph_ev_per_atom": 0.000, "dos_at_fermi_per_ev_fu": 3.22}

(7)
{"formula": "CoOsRh2", "functional": "GGA-PBEsol", "state": "relaxed", "lattice": [[2.640, 0.000, 0.000], [0.000, 3.685, 0.000], [0.000, 0.000, 5.269]], "species": ["Co", "Os", "Rh", "Rh"], "frac_coords": [[0.000, 0.000, 0.000], [0.500, 0.500, 0.234], [0.000, 0.000, 0.487], [0.500, 0.500, 0.756]], "space_group": "Pmm2, No. 25", "ef_ev_per_atom": 0.08, "de_polymorph_ev_per_atom": 0.013, "dos_at_fermi_per_ev_fu": 4.43}

(8)
{"formula": "ZnCd", "functional": "GGA-PBEsol", "state": "relaxed", "lattice": [[1.487, 0.859, 9.259], [-1.487, 0.859, 9.259], [0.000, -1.718, 9.259]], "species": ["Zn", "Zn", "Cd", "Cd"], "frac_coords": [[0.131, 0.131, 0.131], [0.869, 0.869, 0.869], [0.381, 0.381, 0.381], [0.619, 0.619, 0.619]], "space_group": "R-3m, No. 166", "ef_ev_per_atom": 0.07, "dos_at_fermi_per_ev_fu": 0.62}

(9)
{"formula": "NiMoAs2", "functional": "GGA-PBEsol", "state": "relaxed", "lattice": [[0.000, 3.086, 3.086], [3.086, 0.000, 3.086], [3.086, 3.086, 0.000]], "species": ["Ni", "Mo", "As", "As"], "frac_coords": [[0.000, 0.000, 0.000], [0.250, 0.250, 0.250], [0.500, 0.500, 0.500], [0.750, 0.750, 0.750]], "space_group": "F-43m, No. 216", "ef_ev_per_atom": 0.40, "dos_at_fermi_per_ev_fu": 3.14}

(10)
{"formula": "Sc3Pb2", "functional": "GGA-PBEsol", "state": "relaxed", "lattice": [[0.000, 7.309, 3.035], [5.224, 0.000, 3.035], [5.224, 7.309, 0.000]], "species": ["Sc", "Sc", "Sc", "Sc", "Sc", "Sc", "Pb", "Pb", "Pb", "Pb"], "frac_coords": [[0.000, 0.000, 0.000], [0.250, 0.250, 0.250], [0.363, 0.675, 0.440], [0.675, 0.363, 0.523], [0.727, 0.810, 0.575], [0.810, 0.727, 0.887], [0.143, 0.471, 0.957], [0.293, 0.821, 0.107], [0.471, 0.143, 0.429], [0.821, 0.293, 0.779]], "space_group": "Fdd2, No. 43", "ef_ev_per_atom": -0.42, "dos_at_fermi_per_ev_fu": 2.74}

(11)
{"formula": "Sb4Te7Pb", "functional": "GGA-PBEsol", "state": "relaxed", "lattice": [[4.317, 0.000, 0.000], [-2.159, 3.739, 0.000], [0.000, 0.000, 23.619]], "species": ["Sb", "Sb", "Sb", "Sb", "Te", "Te", "Te", "Te", "Te", "Te", "Te", "Pb"], "frac_coords": [[0.333, 0.667, 0.082], [0.333, 0.667, 0.334], [0.667, 0.333, 0.666], [0.667, 0.333, 0.918], [0.000, 0.000, 0.000], [0.000, 0.000, 0.263], [0.000, 0.000, 0.737], [0.333, 0.667, 0.584], [0.333, 0.667, 0.847], [0.667, 0.333, 0.153], [0.667, 0.333, 0.416], [0.000, 0.000, 0.500]], "space_group": "P-3m1, No. 164", "e_form_raw_kj_per_mol_atoms": -15.3}

(12)
{"formula": "CuAgCl2", "functional": "GGA-PBEsol", "state": "relaxed", "lattice": [[1.784, 1.030, 6.405], [-1.784, 1.030, 6.405], [0.000, -2.060, 6.405]], "species": ["Cu", "Ag", "Cl", "Cl"], "frac_coords": [[0.000, 0.000, 0.000], [0.500, 0.500, 0.500], [0.261, 0.261, 0.261], [0.739, 0.739, 0.739]], "space_group": "R-3m, No. 166", "e_form_raw_kj_per_mol_atoms": -27.9, "dos_at_fermi_per_ev_fu": 1.30}

(13)
{"formula": "Ag3SeCl", "functional": "GGA-PBEsol", "state": "relaxed", "lattice": [[4.816, 0.000, 0.000], [0.000, 4.816, 0.000], [0.000, 0.000, 4.816]], "species": ["Ag", "Ag", "Ag", "Se", "Cl"], "frac_coords": [[0.000, 0.000, 0.500], [0.000, 0.500, 0.000], [0.500, 0.000, 0.000], [0.500, 0.500, 0.500], [0.000, 0.000, 0.000]], "space_group": "Pm-3m, No. 221", "e_form_raw_kj_per_mol_atoms": 39.0, "dos_at_fermi_per_ev_fu": 1.24}

(14)
{"formula": "InGaHg2", "functional": "GGA-PBEsol", "state": "relaxed", "lattice": [[-2.108, 2.108, 10.428], [2.108, -2.108, 10.428], [2.108, 2.108, -10.428]], "species": ["In", "In", "Ga", "Ga", "Hg", "Hg", "Hg", "Hg"], "frac_coords": [[0.000, 0.000, 0.000], [0.750, 0.250, 0.500], [0.250, 0.750, 0.500], [0.500, 0.500, 0.000], [0.131, 0.625, 0.006], [0.375, 0.381, 0.506], [0.619, 0.125, 0.994], [0.875, 0.869, 0.494]], "space_group": "I-42d, No. 122", "ef_ev_per_atom": 0.04, "dos_at_fermi_per_ev_fu": 1.57}

(15)
{"formula": "Tm2Ni2Pb", "functional": "GGA-PBEsol", "state": "relaxed", "lattice": [[1.943, -6.961, 0.000], [1.943, 6.961, 0.000], [0.000, 0.000, 3.578]], "species": ["Tm", "Tm", "Ni", "Ni", "Pb"], "frac_coords": [[0.141, 0.859, 0.000], [0.859, 0.141, 0.000], [0.300, 0.700, 0.500], [0.700, 0.300, 0.500], [0.500, 0.500, 0.500]], "space_group": "Cmmm, No. 65", "ef_ev_per_atom": -0.55, "dos_at_fermi_per_ev_fu": 2.75}

(16)
{"formula": "MgH2Pt2", "functional": "GGA-PBEsol", "state": "relaxed", "lattice": [[5.488, 0.000, 0.000], [0.000, 5.488, 0.000], [0.000, 0.000, 3.622]], "species": ["Mg", "Mg", "H", "H", "H", "H", "Pt", "Pt", "Pt", "Pt"], "frac_coords": [[0.000, 0.000, 0.000], [0.500, 0.500, 0.000], [0.156, 0.344, 0.000], [0.344, 0.844, 0.000], [0.656, 0.156, 0.000], [0.844, 0.656, 0.000], [0.175, 0.325, 0.500], [0.325, 0.825, 0.500], [0.675, 0.175, 0.500], [0.825, 0.675, 0.500]], "space_group": "P4/mbm, No. 127", "de_polymorph_ev_per_atom": 0.000, "dos_at_fermi_per_ev_fu": 2.26}

(17)
{"formula": "MgCu2O4", "functional": "GGA-PBEsol", "state": "relaxed", "lattice": [[0.000, 4.154, 4.154], [4.154, 0.000, 4.154], [4.154, 4.154, 0.000]], "species": ["Mg", "Mg", "Cu", "Cu", "Cu", "Cu", "O", "O", "O", "O", "O", "O", "O", "O"], "frac_coords": [[0.125, 0.125, 0.125], [0.875, 0.875, 0.875], [0.000, 0.500, 0.500], [0.500, 0.000, 0.500], [0.500, 0.500, 0.000], [0.500, 0.500, 0.500], [0.262, 0.262, 0.262], [0.262, 0.262, 0.715], [0.262, 0.715, 0.262], [0.285, 0.738, 0.738], [0.715, 0.262, 0.262], [0.738, 0.285, 0.738], [0.738, 0.738, 0.285], [0.738, 0.738, 0.738]], "space_group": "Fd-3m, No. 227", "e_form_raw_kj_per_mol_atoms": -97.9, "de_polymorph_ev_per_atom": 0.118, "dos_at_fermi_per_ev_fu": 3.57}

(18)
{"formula": "K2TlCr", "functional": "GGA-PBEsol", "state": "relaxed", "lattice": [[4.907, 0.000, 0.000], [0.000, 2.454, 6.433], [0.000, -2.454, 6.433]], "species": ["K", "K", "Tl", "Cr"], "frac_coords": [[0.000, 0.000, 0.000], [0.500, 0.308, 0.308], [0.000, 0.706, 0.706], [0.500, 0.608, 0.608]], "space_group": "Amm2, No. 38", "ef_ev_per_atom": 0.59, "de_polymorph_ev_per_atom": 0.000, "dos_at_fermi_per_ev_fu": 2.34}

(19)
{"formula": "La2SbSe", "functional": "GGA-PBEsol", "state": "relaxed", "lattice": [[2.213, 1.277, 7.158], [-2.213, 1.277, 7.158], [0.000, -2.555, 7.158]], "species": ["La", "La", "Sb", "Se"], "frac_coords": [[0.246, 0.246, 0.246], [0.754, 0.754, 0.754], [0.000, 0.000, 0.000], [0.500, 0.500, 0.500]], "space_group": "R-3m, No. 166", "e_form_raw_kj_per_mol_atoms": -158.6, "de_polymorph_ev_per_atom": 0.000, "dos_at_fermi_per_ev_fu": 1.68}

(20)
{"formula": "CdAg2Hg", "functional": "GGA-PBEsol", "state": "relaxed", "lattice": [[1.508, 0.871, 9.381], [-1.508, 0.871, 9.381], [0.000, -1.742, 9.381]], "species": ["Cd", "Ag", "Ag", "Hg"], "frac_coords": [[0.000, 0.000, 0.000], [0.251, 0.251, 0.251], [0.749, 0.749, 0.749], [0.500, 0.500, 0.500]], "space_group": "R-3m, No. 166", "ef_ev_per_atom": -0.01, "de_polymorph_ev_per_atom": 0.027, "dos_at_fermi_per_ev_fu": 0.92}